Here is MoP2Se after structural relaxation from Alexandria via LeMat-Bulk. Energies are from GGA-PBE.

Cell lengths 6.3633, 6.3633, 6.3633 Å; angles 151.57, 137.66, 51.79 degrees
With the nearest neighbours (Å) after each atom.
Element x y z (fractional)
Mo 0.0000 0.0000 0.0000  2 Se 2.49, 2 P 2.54
P 0.4059 0.9059 0.5000  2 P 2.27
P 0.5492 0.5492 0.0000  2 P 2.27
Se 0.8307 0.3307 0.5000  2 Mo 2.49

Output
Space-group type: No. 44

---

Here is MoPSe2 after structural relaxation from Alexandria via LeMat-Bulk. Energies are from GGA-PBE.

Cell lengths 6.8639, 6.8639, 6.8639 Å; angles 153.46, 146.64, 43.12 degrees
With the nearest neighbours (Å) after each atom.
Element x y z (fractional)
Mo 0.0000 0.0000 0.0000  4 P 2.52, 4 Se 2.64
P 0.5000 0.5000 0.0000  4 Mo 2.52
Se 0.1657 0.6657 0.5000  2 Mo 2.64, 2 P 2.89
Se 0.8343 0.3343 0.5000  2 Mo 2.64, 2 P 2.89

Output
Space-group type: No. 71

---

One value per record, in order, for energy relative to the elements, uncorrected: 1.084, 0.333 eV/f.u..
One value per record, in order, for calculated volume: 82.2, 79.2 Å³ per cell.